Here is an optimized crystal structure of CaRe2WO from Alexandria. Energies are from GGA+U.

Values from the calculation:
The calculation puts the total energy at -4.15 eV/atom. The calculation puts the density of states at the Fermi level at 4.5 states/eV/f.u.

Cell: 4.7117 4.7117 5.4504 Å, 90.00 90.00 90.00°
Last column: nearest neighbours and their distance in Å.
Fractional positions:
Ca 0.0000 0.0000 0.0000  4 Re 2.36
Re 0.0000 0.5000 0.0000  2 Ca 2.36
Re 0.5000 0.0000 0.0000  2 Ca 2.36
W 0.0000 0.0000 0.5000  2 Ca 2.73
O 0.5000 0.5000 0.5000  4 W 3.33, 8 Re 3.60